The following is a DFT calculation (GGA+U) of a relaxed structure of Cs3RbCo2F9.

The structure in CIF format:
```
data_Cs3RbCo2F9
_chemical_formula_sum 'Cs3 Rb1 Co2 F9'
_cell_length_a 6.3181
_cell_length_b 6.3181
_cell_length_c 8.0259
_cell_angle_alpha 90.00
_cell_angle_beta 90.00
_cell_angle_gamma 120.00
_symmetry_space_group_name_H-M 'P 1'
_symmetry_Int_Tables_number 1
loop_
_symmetry_equiv_pos_as_xyz
'x,y,z'
loop_
_atom_site_label
_atom_site_type_symbol
_atom_site_fract_x
_atom_site_fract_y
_atom_site_fract_z
F1 F 0.0000 0.5000 0.0000
Cs1 Cs 0.0000 0.0000 0.0000
F2 F 0.3754 0.1877 0.7176
F3 F 0.1877 0.8123 0.2824
Cs2 Cs 0.3333 0.6667 0.6765
Co1 Co 0.3333 0.6667 0.1454
F4 F 0.6246 0.8123 0.2824
Cs3 Cs 0.6667 0.3333 0.3235
F5 F 0.8123 0.6246 0.7176
F6 F 0.5000 0.5000 0.0000
F7 F 0.8123 0.1877 0.7176
Co2 Co 0.6667 0.3333 0.8546
Rb1 Rb 0.0000 0.0000 0.5000
F8 F 0.1877 0.3754 0.2824
F9 F 0.5000 0.0000 0.0000
```

Values from the calculation:
The calculated total energy is -66.68 eV/f.u. The crystal system is trigonal.